1.
# SiAs3Au, optimized geometry, DFT PBE
data_SiAs3Au
_cell_length_a 4.738
_cell_length_b 4.738
_cell_length_c 4.738
_cell_angle_alpha 90.00
_cell_angle_beta 90.00
_cell_angle_gamma 90.00
_symmetry_space_group_name_H-M 'P 1'
_symmetry_Int_Tables_number 1
loop_
_symmetry_equiv_pos_as_xyz
'x,y,z'
loop_
_atom_site_label
_atom_site_type_symbol
_atom_site_fract_x
_atom_site_fract_y
_atom_site_fract_z
_atom_site_occupancy
Si1 Si 0.000 0.000 0.000 1
As1 As 0.000 0.000 0.500 1
As2 As 0.000 0.500 0.000 1
As3 As 0.500 0.000 0.000 1
Au1 Au 0.500 0.500 0.500 1
# Raw formation energy (kJ per mole of atoms): 73

2.
# Si2As4Au, optimized geometry, DFT PBE
data_Si2As4Au
_cell_length_a 7.038
_cell_length_b 7.038
_cell_length_c 7.038
_cell_angle_alpha 137.68
_cell_angle_beta 137.68
_cell_angle_gamma 61.39
_symmetry_space_group_name_H-M 'P 1'
_symmetry_Int_Tables_number 1
loop_
_symmetry_equiv_pos_as_xyz
'x,y,z'
loop_
_atom_site_label
_atom_site_type_symbol
_atom_site_fract_x
_atom_site_fract_y
_atom_site_fract_z
_atom_site_occupancy
Si1 Si 0.250 0.750 0.500 1
Si2 Si 0.750 0.250 0.500 1
As1 As 0.069 0.683 0.000 1
As2 As 0.317 0.317 0.386 1
As3 As 0.683 0.069 0.000 1
As4 As 0.931 0.931 0.614 1
Au1 Au 0.500 0.500 0.000 1
# Raw formation energy (kJ per mole of atoms): 0

3.
# SiAsAu2, optimized geometry, DFT PBE
data_SiAsAu2
_cell_length_a 3.030
_cell_length_b 3.030
_cell_length_c 7.819
_cell_angle_alpha 90.00
_cell_angle_beta 90.00
_cell_angle_gamma 90.65
_symmetry_space_group_name_H-M 'P 1'
_symmetry_Int_Tables_number 1
loop_
_symmetry_equiv_pos_as_xyz
'x,y,z'
loop_
_atom_site_label
_atom_site_type_symbol
_atom_site_fract_x
_atom_site_fract_y
_atom_site_fract_z
_atom_site_occupancy
Si1 Si 0.000 0.000 0.000 1
As1 As 0.000 0.000 0.500 1
Au1 Au 0.500 0.500 0.230 1
Au2 Au 0.500 0.500 0.770 1
# Raw formation energy (kJ per mole of atoms): 27

4.
# SiAsAu2, optimized geometry, DFT PBE
data_SiAsAu2
_cell_length_a 5.074
_cell_length_b 5.074
_cell_length_c 5.074
_cell_angle_alpha 131.34
_cell_angle_beta 131.34
_cell_angle_gamma 71.27
_symmetry_space_group_name_H-M 'P 1'
_symmetry_Int_Tables_number 1
loop_
_symmetry_equiv_pos_as_xyz
'x,y,z'
loop_
_atom_site_label
_atom_site_type_symbol
_atom_site_fract_x
_atom_site_fract_y
_atom_site_fract_z
_atom_site_occupancy
Si1 Si 0.000 0.000 0.000 1
As1 As 0.250 0.750 0.500 1
Au1 Au 0.500 0.500 0.000 1
Au2 Au 0.750 0.250 0.500 1
# Raw formation energy (kJ per mole of atoms): 30

5.
# SiAsAu, optimized geometry, DFT PBE
data_SiAsAu
_cell_length_a 5.980
_cell_length_b 5.980
_cell_length_c 5.980
_cell_angle_alpha 153.01
_cell_angle_beta 146.07
_cell_angle_gamma 43.88
_symmetry_space_group_name_H-M 'P 1'
_symmetry_Int_Tables_number 1
loop_
_symmetry_equiv_pos_as_xyz
'x,y,z'
loop_
_atom_site_label
_atom_site_type_symbol
_atom_site_fract_x
_atom_site_fract_y
_atom_site_fract_z
_atom_site_occupancy
Si1 Si 0.000 0.000 0.000 1
As1 As 0.659 0.659 0.000 1
Au1 Au 0.349 0.349 0.000 1
# Raw formation energy (kJ per mole of atoms): 34

6.
# SiAsAu2, optimized geometry, DFT PBE
data_SiAsAu2
_cell_length_a 5.449
_cell_length_b 5.449
_cell_length_c 3.943
_cell_angle_alpha 110.50
_cell_angle_beta 110.50
_cell_angle_gamma 119.09
_symmetry_space_group_name_H-M 'P 1'
_symmetry_Int_Tables_number 1
loop_
_symmetry_equiv_pos_as_xyz
'x,y,z'
loop_
_atom_site_label
_atom_site_type_symbol
_atom_site_fract_x
_atom_site_fract_y
_atom_site_fract_z
_atom_site_occupancy
Si1 Si 0.000 0.000 0.000 1
As1 As 0.500 0.500 0.000 1
Au1 Au 0.000 0.500 0.500 1
Au2 Au 0.500 0.000 0.500 1
# Raw formation energy (kJ per mole of atoms): 17

7.
# SiAsAu2, optimized geometry, DFT PBE
data_SiAsAu2
_cell_length_a 3.998
_cell_length_b 4.058
_cell_length_c 4.456
_cell_angle_alpha 90.00
_cell_angle_beta 90.00
_cell_angle_gamma 90.00
_symmetry_space_group_name_H-M 'P 1'
_symmetry_Int_Tables_number 1
loop_
_symmetry_equiv_pos_as_xyz
'x,y,z'
loop_
_atom_site_label
_atom_site_type_symbol
_atom_site_fract_x
_atom_site_fract_y
_atom_site_fract_z
_atom_site_occupancy
Si1 Si 0.000 0.000 0.000 1
As1 As 0.500 0.000 0.500 1
Au1 Au 0.000 0.500 0.500 1
Au2 Au 0.500 0.500 0.000 1
# Raw formation energy (kJ per mole of atoms): 29

8.
# Si4AsAu, optimized geometry, DFT PBE
data_Si4AsAu
_cell_length_a 5.216
_cell_length_b 5.216
_cell_length_c 5.216
_cell_angle_alpha 60.00
_cell_angle_beta 60.00
_cell_angle_gamma 60.00
_symmetry_space_group_name_H-M 'P 1'
_symmetry_Int_Tables_number 1
loop_
_symmetry_equiv_pos_as_xyz
'x,y,z'
loop_
_atom_site_label
_atom_site_type_symbol
_atom_site_fract_x
_atom_site_fract_y
_atom_site_fract_z
_atom_site_occupancy
Si1 Si 0.125 0.125 0.125 1
Si2 Si 0.125 0.125 0.625 1
Si3 Si 0.125 0.625 0.125 1
Si4 Si 0.625 0.125 0.125 1
As1 As 0.500 0.500 0.500 1
Au1 Au 0.750 0.750 0.750 1
# Raw formation energy (kJ per mole of atoms): 58

9.
# SiAs4Au, optimized geometry, DFT PBE
data_SiAs4Au
_cell_length_a 5.536
_cell_length_b 5.536
_cell_length_c 5.536
_cell_angle_alpha 60.00
_cell_angle_beta 60.00
_cell_angle_gamma 60.00
_symmetry_space_group_name_H-M 'P 1'
_symmetry_Int_Tables_number 1
loop_
_symmetry_equiv_pos_as_xyz
'x,y,z'
loop_
_atom_site_label
_atom_site_type_symbol
_atom_site_fract_x
_atom_site_fract_y
_atom_site_fract_z
_atom_site_occupancy
Si1 Si 0.000 0.000 0.000 1
As1 As 0.126 0.625 0.625 1
As2 As 0.625 0.126 0.625 1
As3 As 0.625 0.625 0.126 1
As4 As 0.625 0.625 0.625 1
Au1 Au 0.250 0.250 0.250 1
# Raw formation energy (kJ per mole of atoms): 60

10.
# SiAsAu2, optimized geometry, DFT PBE
data_SiAsAu2
_cell_length_a 2.759
_cell_length_b 3.938
_cell_length_c 7.066
_cell_angle_alpha 90.00
_cell_angle_beta 90.53
_cell_angle_gamma 90.00
_symmetry_space_group_name_H-M 'P 1'
_symmetry_Int_Tables_number 1
loop_
_symmetry_equiv_pos_as_xyz
'x,y,z'
loop_
_atom_site_label
_atom_site_type_symbol
_atom_site_fract_x
_atom_site_fract_y
_atom_site_fract_z
_atom_site_occupancy
Si1 Si 0.000 0.000 0.000 1
As1 As 0.000 0.000 0.500 1
Au1 Au 0.003 0.500 0.765 1
Au2 Au 0.997 0.500 0.235 1
# Raw formation energy (kJ per mole of atoms): 14

11.
# SiAsAu4, optimized geometry, DFT PBE
data_SiAsAu4
_cell_length_a 5.522
_cell_length_b 5.522
_cell_length_c 5.522
_cell_angle_alpha 60.00
_cell_angle_beta 60.00
_cell_angle_gamma 60.00
_symmetry_space_group_name_H-M 'P 1'
_symmetry_Int_Tables_number 1
loop_
_symmetry_equiv_pos_as_xyz
'x,y,z'
loop_
_atom_site_label
_atom_site_type_symbol
_atom_site_fract_x
_atom_site_fract_y
_atom_site_fract_z
_atom_site_occupancy
Si1 Si 0.000 0.000 0.000 1
As1 As 0.750 0.750 0.750 1
Au1 Au 0.375 0.375 0.375 1
Au2 Au 0.375 0.375 0.875 1
Au3 Au 0.375 0.875 0.375 1
Au4 Au 0.875 0.375 0.375 1
# Raw formation energy (kJ per mole of atoms): 38

12.
# SiAsAu2, optimized geometry, DFT PBE
data_SiAsAu2
_cell_length_a 4.684
_cell_length_b 4.684
_cell_length_c 4.684
_cell_angle_alpha 60.00
_cell_angle_beta 60.00
_cell_angle_gamma 60.00
_symmetry_space_group_name_H-M 'P 1'
_symmetry_Int_Tables_number 1
loop_
_symmetry_equiv_pos_as_xyz
'x,y,z'
loop_
_atom_site_label
_atom_site_type_symbol
_atom_site_fract_x
_atom_site_fract_y
_atom_site_fract_z
_atom_site_occupancy
Si1 Si 0.000 0.000 0.000 1
As1 As 0.500 0.500 0.500 1
Au1 Au 0.250 0.250 0.250 1
Au2 Au 0.750 0.750 0.750 1
# Raw formation energy (kJ per mole of atoms): 29

13.
# SiAsAu, optimized geometry, DFT PBE
data_SiAsAu
_cell_length_a 3.681
_cell_length_b 3.681
_cell_length_c 4.723
_cell_angle_alpha 90.00
_cell_angle_beta 90.00
_cell_angle_gamma 120.00
_symmetry_space_group_name_H-M 'P 1'
_symmetry_Int_Tables_number 1
loop_
_symmetry_equiv_pos_as_xyz
'x,y,z'
loop_
_atom_site_label
_atom_site_type_symbol
_atom_site_fract_x
_atom_site_fract_y
_atom_site_fract_z
_atom_site_occupancy
Si1 Si 0.000 0.000 0.000 1
As1 As 0.667 0.333 0.281 1
Au1 Au 0.333 0.667 0.680 1
# Raw formation energy (kJ per mole of atoms): 8

14.
# SiAsAu, optimized geometry, DFT PBE
data_SiAsAu
_cell_length_a 4.411
_cell_length_b 4.411
_cell_length_c 4.411
_cell_angle_alpha 60.00
_cell_angle_beta 60.00
_cell_angle_gamma 60.00
_symmetry_space_group_name_H-M 'P 1'
_symmetry_Int_Tables_number 1
loop_
_symmetry_equiv_pos_as_xyz
'x,y,z'
loop_
_atom_site_label
_atom_site_type_symbol
_atom_site_fract_x
_atom_site_fract_y
_atom_site_fract_z
_atom_site_occupancy
Si1 Si 0.000 0.000 0.000 1
As1 As 0.500 0.500 0.500 1
Au1 Au 0.250 0.250 0.250 1
# Raw formation energy (kJ per mole of atoms): 24

15.
# SiTcAsAu2, optimized geometry, DFT PBE
data_SiTcAsAu2
_cell_length_a 4.850
_cell_length_b 4.850
_cell_length_c 4.769
_cell_angle_alpha 90.00
_cell_angle_beta 90.00
_cell_angle_gamma 90.00
_symmetry_space_group_name_H-M 'P 1'
_symmetry_Int_Tables_number 1
loop_
_symmetry_equiv_pos_as_xyz
'x,y,z'
loop_
_atom_site_label
_atom_site_type_symbol
_atom_site_fract_x
_atom_site_fract_y
_atom_site_fract_z
_atom_site_occupancy
Si1 Si 0.000 0.000 0.000 1
Tc1 Tc 0.500 0.500 0.000 1
As1 As 0.500 0.500 0.500 1
Au1 Au 0.000 0.500 0.500 1
Au2 Au 0.500 0.000 0.500 1
# Raw formation energy (kJ per mole of atoms): 99

16.
# TiSiAs2Au, optimized geometry, DFT PBE
data_TiSiAs2Au
_cell_length_a 4.762
_cell_length_b 4.762
_cell_length_c 4.679
_cell_angle_alpha 90.00
_cell_angle_beta 90.00
_cell_angle_gamma 90.00
_symmetry_space_group_name_H-M 'P 1'
_symmetry_Int_Tables_number 1
loop_
_symmetry_equiv_pos_as_xyz
'x,y,z'
loop_
_atom_site_label
_atom_site_type_symbol
_atom_site_fract_x
_atom_site_fract_y
_atom_site_fract_z
_atom_site_occupancy
Ti1 Ti 0.000 0.000 0.000 1
Si1 Si 0.500 0.500 0.500 1
As1 As 0.000 0.500 0.500 1
As2 As 0.500 0.000 0.500 1
Au1 Au 0.500 0.500 0.000 1
# Raw formation energy (kJ per mole of atoms): 58

17.
# ZrSiAs2Au, optimized geometry, DFT PBE
data_ZrSiAs2Au
_cell_length_a 5.113
_cell_length_b 5.113
_cell_length_c 5.291
_cell_angle_alpha 90.00
_cell_angle_beta 90.00
_cell_angle_gamma 90.00
_symmetry_space_group_name_H-M 'P 1'
_symmetry_Int_Tables_number 1
loop_
_symmetry_equiv_pos_as_xyz
'x,y,z'
loop_
_atom_site_label
_atom_site_type_symbol
_atom_site_fract_x
_atom_site_fract_y
_atom_site_fract_z
_atom_site_occupancy
Zr1 Zr 0.000 0.000 0.000 1
Si1 Si 0.500 0.500 0.500 1
As1 As 0.000 0.500 0.000 1
As2 As 0.500 0.000 0.000 1
Au1 Au 0.000 0.000 0.500 1
# Raw formation energy (kJ per mole of atoms): 65

18.
# Sm2AsAu, optimized geometry, DFT PBE
data_Sm2AsAu
_cell_length_a 7.582
_cell_length_b 7.582
_cell_length_c 7.582
_cell_angle_alpha 32.03
_cell_angle_beta 32.03
_cell_angle_gamma 32.03
_symmetry_space_group_name_H-M 'P 1'
_symmetry_Int_Tables_number 1
loop_
_symmetry_equiv_pos_as_xyz
'x,y,z'
loop_
_atom_site_label
_atom_site_type_symbol
_atom_site_fract_x
_atom_site_fract_y
_atom_site_fract_z
_atom_site_occupancy
Sm1 Sm 0.245 0.245 0.245 1
Sm2 Sm 0.755 0.755 0.755 1
As1 As 0.500 0.500 0.500 1
Au1 Au 0.000 0.000 0.000 1
# ΔE_f (eV per atom): -1.052

19.
# Sm2AsAu, optimized geometry, DFT PBE
data_Sm2AsAu
_cell_length_a 12.220
_cell_length_b 12.220
_cell_length_c 4.272
_cell_angle_alpha 90.00
_cell_angle_beta 90.00
_cell_angle_gamma 160.64
_symmetry_space_group_name_H-M 'P 1'
_symmetry_Int_Tables_number 1
loop_
_symmetry_equiv_pos_as_xyz
'x,y,z'
loop_
_atom_site_label
_atom_site_type_symbol
_atom_site_fract_x
_atom_site_fract_y
_atom_site_fract_z
_atom_site_occupancy
Sm1 Sm 0.070 0.930 0.750 1
Sm2 Sm 0.311 0.689 0.750 1
Sm3 Sm 0.689 0.311 0.250 1
Sm4 Sm 0.930 0.070 0.250 1
As1 As 0.189 0.811 0.750 1
As2 As 0.811 0.189 0.250 1
Au1 Au 0.457 0.543 0.750 1
Au2 Au 0.543 0.457 0.250 1
# ΔE_f (eV per atom): -1.137

20.
# SmAsAu4, optimized geometry, DFT PBE
data_SmAsAu4
_cell_length_a 5.612
_cell_length_b 5.612
_cell_length_c 5.612
_cell_angle_alpha 60.00
_cell_angle_beta 60.00
_cell_angle_gamma 60.00
_symmetry_space_group_name_H-M 'P 1'
_symmetry_Int_Tables_number 1
loop_
_symmetry_equiv_pos_as_xyz
'x,y,z'
loop_
_atom_site_label
_atom_site_type_symbol
_atom_site_fract_x
_atom_site_fract_y
_atom_site_fract_z
_atom_site_occupancy
Sm1 Sm 0.000 0.000 0.000 1
As1 As 0.250 0.250 0.250 1
Au1 Au 0.125 0.625 0.625 1
Au2 Au 0.625 0.125 0.625 1
Au3 Au 0.625 0.625 0.125 1
Au4 Au 0.625 0.625 0.625 1
# ΔE_f (eV per atom): -0.384